Compound: LaCuN2
Source: Alexandria
Functional: PBE-GGA
Structure: relaxed

abc: 6.076 6.076 6.076
angles: 37.63 37.63 37.63
Fractional coordinates of all 4 atoms:
La 0.000 0.000 0.000
Cu 0.500 0.500 0.500
N 0.396 0.396 0.396
N 0.604 0.604 0.604

Properties
Magnetization ... 0.07 μB/f.u.
Excess energy over the best structure of this formula in the dataset ... 0 meV per atom
Crystal system ... trigonal

---

Compound: La2NbCuN
Source: Alexandria
Functional: PBE-GGA
Structure: relaxed

abc: 5.206 5.206 4.123
angles: 90.00 90.00 90.00
Fractional coordinates of all 5 atoms:
La 0.000 0.500 0.000
La 0.500 0.000 0.000
Nb 0.000 0.000 0.500
Cu 0.500 0.500 0.500
N 0.000 0.000 0.000

Properties
Magnetization ... 1.00 μB/f.u.
Crystal system ... tetragonal

---

Values for energy relative to the elements, uncorrected, eV/atom, ordered as above
-0.1502 -0.4196